Entry 1:
Here is Nb2RhC after structural relaxation from the Alexandria database. Energies are from PBE.

Values from the calculation:
- magnetization (μB per atom) = 0.0000
- total DFT energy (no corrections) (eV per atom) = -9.07

Cell lengths 6.4613, 6.4613, 5.6740 Å; angles 90.00, 90.00, 90.00 degrees
Last column: nearest neighbours and their distance in Å.
Space group I-42d (No. 122)
Inequivalent atoms, fractional coordinates:
Nb (0.1899, 0.2500, 0.1250) x8  2 C 2.15
Rh (0.0000, 0.0000, 0.5000) x4  8 Nb 2.67-2.94, 2 C 2.84
C (0.0000, 0.0000, 0.0000) x4  4 Nb 2.15

---

Entry 2:
Here is Nb3RhC after structural relaxation from the Alexandria database. Energies are from PBE.

Values from the calculation:
- E above lowest polymorph (eV/f.u.) = 0.00
- magnetization (μB per atom) = 0.0000
- total DFT energy (no corrections) (eV per atom) = -9.76

Cell lengths 3.1273, 8.7020, 5.8031 Å; angles 90.00, 105.60, 90.00 degrees
Last column: nearest neighbours and their distance in Å.
Space group P2_1/m (No. 11)
Inequivalent atoms, fractional coordinates:
Nb (0.0446, 0.2500, 0.0885) x2  2 C 2.23
Nb (0.3709, 0.0498, 0.7418) x4  2 C 2.17
Rh (0.2574, 0.7500, 0.5125) x2  8 Nb 2.72-2.91
C (0.0000, 0.0000, 0.0000) x2  6 Nb 2.17-2.23

---

Entry 3:
Here is Nb4Rh2C after structural relaxation from the Alexandria database. Energies are from PBE.

Values from the calculation:
- magnetization (μB per atom) = 0.0000
- total DFT energy (no corrections) (eV per atom) = -9.60

Cell lengths 12.0103, 12.0103, 12.0103 Å; angles 90.00, 90.00, 90.00 degrees
Last column: nearest neighbours and their distance in Å.
Space group Fd-3m (No. 227, origin choice 2)
Inequivalent atoms, fractional coordinates:
Nb (0.0000, 0.0000, 0.0000) x16  6 Rh 2.63
Nb (0.0579, 0.3750, 0.8750) x48  2 C 2.23
Rh (0.0373, 0.0373, 0.2127) x32  6 Nb 2.63-2.77
C (0.0000, 0.0000, 0.5000) x16  6 Nb 2.23

---

Entry 4:
Here is Nb4RhC2 after structural relaxation from the Alexandria database. Energies are from PBE.

Values from the calculation:
- magnetization (μB per atom) = 0.0000
- total DFT energy (no corrections) (eV per atom) = -9.90

Cell lengths 3.2233, 10.8013, 11.4491 Å; angles 90.00, 90.00, 90.00 degrees
Last column: nearest neighbours and their distance in Å.
Space group Cmcm (No. 63)
Inequivalent atoms, fractional coordinates:
Nb (0.0000, 0.0000, 0.0000) x4  4 C 2.28
Nb (0.0000, 0.2639, 0.1055) x8  3 C 2.19-2.21
Nb (0.0000, 0.4183, 0.7500) x4  2 C 2.23
Rh (0.0000, 0.1070, 0.7500) x4  6 Nb 2.60-2.70
C (0.0000, 0.3658, 0.5616) x8  6 Nb 2.19-2.28

---

Entry 5:
Here is Nb2RuRhC after structural relaxation from the Alexandria database. Energies are from PBE.

Values from the calculation:
- magnetization (μB per atom) = 0.0000
- total DFT energy (no corrections) (eV per atom) = -6.76

Cell lengths 4.7713, 4.7713, 4.6165 Å; angles 90.00, 90.00, 90.00 degrees
Last column: nearest neighbours and their distance in Å.
Space group P4/mmm (No. 123)
Inequivalent atoms, fractional coordinates:
Nb (0.0000, 0.5000, 0.0000) x2  2 Rh 2.39
Ru (0.0000, 0.0000, 0.5000) x1  2 Rh 2.31
Rh (0.0000, 0.0000, 0.0000) x1  2 Ru 2.31, 4 Nb 2.39
C (0.5000, 0.5000, 0.5000) x1  8 Nb 3.32, 4 Ru 3.37

---

Entry 6:
Here is Ti2NbRhC after structural relaxation from the Alexandria database. Energies are from PBE.

Values from the calculation:
- E above lowest polymorph (eV/f.u.) = 13.01
- magnetization (μB per atom) = 0.0000
- total DFT energy (no corrections) (eV per atom) = -6.33

Cell lengths 4.7869, 4.7869, 4.5981 Å; angles 90.00, 90.00, 90.00 degrees
Last column: nearest neighbours and their distance in Å.
Space group P4/mmm (No. 123)
Inequivalent atoms, fractional coordinates:
Ti (0.0000, 0.5000, 0.0000) x2  2 Nb 2.39
Nb (0.0000, 0.0000, 0.0000) x1  2 Rh 2.30, 4 Ti 2.39
Rh (0.0000, 0.0000, 0.5000) x1  2 Nb 2.30
C (0.5000, 0.5000, 0.5000) x1  8 Ti 3.32, 4 Rh 3.38

---

Entry 7:
Here is Ti2NbRhC after structural relaxation from the Alexandria database. Energies are from PBE.

Values from the calculation:
- E above lowest polymorph (eV/f.u.) = 0.00
- magnetization (μB per atom) = 0.0000
- total DFT energy (no corrections) (eV per atom) = -8.93

Cell lengths 4.1329, 4.1329, 4.3023 Å; angles 90.00, 90.00, 90.00 degrees
Last column: nearest neighbours and their distance in Å.
Space group P4/mmm (No. 123)
Inequivalent atoms, fractional coordinates:
Ti (0.0000, 0.5000, 0.0000) x2  2 C 2.07
Nb (0.0000, 0.0000, 0.5000) x1  2 C 2.15
Rh (0.5000, 0.5000, 0.5000) x1  4 Nb 2.92, 8 Ti 2.98
C (0.0000, 0.0000, 0.0000) x1  4 Ti 2.07, 2 Nb 2.15

---

Entry 8:
Here is NbV2RhC after structural relaxation from the Alexandria database. Energies are from PBE.

Values from the calculation:
- magnetization (μB per atom) = 0.0005
- total DFT energy (no corrections) (eV per atom) = -9.25

Cell lengths 3.9578, 3.9578, 4.3030 Å; angles 90.00, 90.00, 90.00 degrees
Last column: nearest neighbours and their distance in Å.
Space group P4/mmm (No. 123)
Inequivalent atoms, fractional coordinates:
Nb (0.0000, 0.0000, 0.0000) x1  2 C 2.15
V (0.0000, 0.5000, 0.5000) x2  2 C 1.98
Rh (0.5000, 0.5000, 0.0000) x1  4 Nb 2.80, 8 V 2.92
C (0.0000, 0.0000, 0.5000) x1  4 V 1.98, 2 Nb 2.15

---

Entry 9:
Here is NbZnRh2C after structural relaxation from the Alexandria database. Energies are from PBE.

Values from the calculation:
- magnetization (μB per atom) = 0.2204
- total DFT energy (no corrections) (eV per atom) = -4.73

Cell lengths 4.6846, 4.6846, 5.0975 Å; angles 90.00, 90.00, 90.00 degrees
Last column: nearest neighbours and their distance in Å.
Space group P4/mmm (No. 123)
Inequivalent atoms, fractional coordinates:
Nb (0.0000, 0.0000, 0.0000) x1  4 Rh 2.34, 2 Zn 2.55
Zn (0.0000, 0.0000, 0.5000) x1  2 Nb 2.55
Rh (0.0000, 0.5000, 0.0000) x2  2 Nb 2.34
C (0.5000, 0.5000, 0.5000) x1  4 Zn 3.31, 8 Rh 3.46

---

Entry 10:
Here is NbRu2C after structural relaxation from the Alexandria database. Energies are from PBE.

Values from the calculation:
- magnetization (μB per atom) = 0.0000
- total DFT energy (no corrections) (eV per atom) = -9.44

Cell lengths 4.0513, 4.5983, 6.3760 Å; angles 71.23, 72.89, 75.19 degrees
Last column: nearest neighbours and their distance in Å.
Space group P-1 (No. 2)
Inequivalent atoms, fractional coordinates:
Nb (0.1615, 0.2713, 0.3533) x2  2 C 2.23-2.34
Ru (0.1934, 0.7394, 0.9594) x2  2 C 2.09-2.14
Ru (0.4344, 0.2915, 0.7162) x2  2 C 2.11-2.14
C (0.0328, 0.8587, 0.2689) x2  4 Ru 2.09-2.14, 2 Nb 2.23-2.34

---

Entry 11:
Here is NbRu2C after structural relaxation from the Alexandria database. Energies are from PBE.

Values from the calculation:
- magnetization (μB per atom) = 0.0000
- total DFT energy (no corrections) (eV per atom) = -9.33

Cell lengths 6.6925, 6.6925, 4.8879 Å; angles 90.00, 90.00, 90.00 degrees
Last column: nearest neighbours and their distance in Å.
Space group I-42d (No. 122)
Inequivalent atoms, fractional coordinates:
Nb (0.0000, 0.0000, 0.0000) x4  2 C 2.44, 4 Ru 2.65
Ru (0.1385, 0.2500, 0.6250) x8  2 C 2.01
C (0.0000, 0.0000, 0.5000) x4  4 Ru 2.01

---

Entry 12:
Here is NbRu2C after structural relaxation from the Alexandria database. Energies are from PBE.

Values from the calculation:
- magnetization (μB per atom) = 0.0000
- total DFT energy (no corrections) (eV per atom) = -9.44

Cell lengths 4.1637, 5.2837, 5.3286 Å; angles 106.66, 99.40, 103.95 degrees
Last column: nearest neighbours and their distance in Å.
Space group P1 (No. 1)
Inequivalent atoms, fractional coordinates:
Nb (0.0000, 0.0000, 0.0000) x1  3 C 2.21-2.43
Nb (0.3157, 0.6109, 0.6082) x1  1 C 2.18
Ru (0.1336, 0.0658, 0.5340) x1  2 C 2.09-2.19
Ru (0.4599, 0.7378, 0.1736) x1  2 C 2.13-2.19
Ru (0.6639, 0.3098, 0.3009) x1  2 C 2.13-2.21
Ru (0.7914, 0.4100, 0.8398) x1  2 C 2.07-2.11
C (0.4883, 0.0424, 0.8718) x1  3 Ru 2.11-2.21, 3 Nb 2.18-2.23
C (0.9456, 0.6711, 0.2398) x1  5 Ru 2.07-2.19

---

Entry 13:
Here is NbRuC3 after structural relaxation from the Alexandria database. Energies are from PBE.

Values from the calculation:
- E above lowest polymorph (eV/f.u.) = 2.41
- magnetization (μB per atom) = 0.0001
- total DFT energy (no corrections) (eV per atom) = -6.97

Cell lengths 4.0911, 4.0911, 4.0911 Å; angles 90.00, 90.00, 90.00 degrees
Last column: nearest neighbours and their distance in Å.
Space group Pm-3m (No. 221)
Inequivalent atoms, fractional coordinates:
Nb (0.0000, 0.0000, 0.0000) x1  6 C 2.05
Ru (0.5000, 0.5000, 0.5000) x1  12 C 2.89
C (0.0000, 0.0000, 0.5000) x3  2 Nb 2.05

---

Entry 14:
Here is NbRu2C after structural relaxation from the Alexandria database. Energies are from PBE.

Values from the calculation:
- magnetization (μB per atom) = 0.0000
- total DFT energy (no corrections) (eV per atom) = -9.45

Cell lengths 2.8513, 4.3613, 8.4678 Å; angles 90.00, 90.00, 90.00 degrees
Last column: nearest neighbours and their distance in Å.
Space group Immm (No. 71)
Inequivalent atoms, fractional coordinates:
Nb (0.0000, 0.0000, 0.0000) x2  2 C 2.18
Ru (0.0000, 0.0000, 0.3264) x4  2 C 2.05
C (0.0000, 0.5000, 0.0000) x2  4 Ru 2.05, 2 Nb 2.18

---

Entry 15:
Here is NbRu2C after structural relaxation from the Alexandria database. Energies are from PBE.

Values from the calculation:
- magnetization (μB per atom) = 0.0000
- total DFT energy (no corrections) (eV per atom) = -9.48

Cell lengths 2.9288, 4.1154, 8.7813 Å; angles 90.00, 90.00, 90.00 degrees
Last column: nearest neighbours and their distance in Å.
Space group Imm2 (No. 44)
Inequivalent atoms, fractional coordinates:
Nb (0.0000, 0.0000, 0.0000) x2  2 C 2.21
Ru (0.0000, 0.0000, 0.3417) x2  2 C 2.08
Ru (0.0000, 0.0000, 0.6540) x2  2 C 2.01
C (0.0000, 0.5000, 0.3109) x2  4 Ru 2.01-2.08, 2 Nb 2.21

---

Entry 16:
Here is NbRu2C after structural relaxation from the Alexandria database. Energies are from PBE.

Values from the calculation:
- magnetization (μB per atom) = 0.0000
- total DFT energy (no corrections) (eV per atom) = -9.51

Cell lengths 3.0494, 3.0494, 11.3768 Å; angles 90.00, 90.00, 90.00 degrees
Last column: nearest neighbours and their distance in Å.
Space group I4/mmm (No. 139)
Inequivalent atoms, fractional coordinates:
Nb (0.0000, 0.0000, 0.0000) x2  4 C 2.16
Ru (0.0000, 0.0000, 0.3199) x4  1 C 2.05
C (0.0000, 0.0000, 0.5000) x2  2 Ru 2.05, 4 Nb 2.16

---

Entry 17:
Here is NbRuC2 after structural relaxation from the Alexandria database. Energies are from PBE.

Values from the calculation:
- E above lowest polymorph (eV/f.u.) = 0.00
- magnetization (μB per atom) = 0.0000
- total DFT energy (no corrections) (eV per atom) = -9.06

Cell lengths 4.6622, 4.6622, 9.6553 Å; angles 90.00, 90.00, 90.00 degrees
Last column: nearest neighbours and their distance in Å.
Space group I-42d (No. 122)
Inequivalent atoms, fractional coordinates:
Nb (0.0000, 0.0000, 0.0000) x4  4 C 2.12
Ru (0.0000, 0.0000, 0.5000) x4  4 C 1.97
C (0.2233, 0.2500, 0.6250) x8  2 Ru 1.97, 2 Nb 2.12

---

Entry 18:
Here is NbRu2C after structural relaxation from the Alexandria database. Energies are from PBE.

Values from the calculation:
- magnetization (μB per atom) = 0.0000
- total DFT energy (no corrections) (eV per atom) = -9.42

Cell lengths 2.8061, 4.0037, 9.2173 Å; angles 90.00, 90.00, 90.00 degrees
Last column: nearest neighbours and their distance in Å.
Space group Amm2 (No. 38)
Inequivalent atoms, fractional coordinates:
Nb (0.0000, 0.0000, 0.0000) x2  4 C 2.46, 2 Ru 2.70
Ru (0.0000, 0.0000, 0.6971) x2  2 C 2.06
Ru (0.5000, 0.0000, 0.3159) x2  1 C 2.00
C (0.5000, 0.0000, 0.5329) x2  3 Ru 2.00-2.06

---

Entry 19:
Here is NbRu2C after structural relaxation from the Alexandria database. Energies are from PBE.

Values from the calculation:
- magnetization (μB per atom) = 0.0000
- total DFT energy (no corrections) (eV per atom) = -9.50

Cell lengths 5.0006, 5.0491, 5.0499 Å; angles 99.78, 119.53, 100.01 degrees
Last column: nearest neighbours and their distance in Å.
Space group P-1 (No. 2)
Inequivalent atoms, fractional coordinates:
Nb (0.0866, 0.2377, 0.4028) x2  2 C 2.18-2.19
Ru (0.2647, 0.7700, 0.2583) x2  2 C 2.08-2.10
Ru (0.4079, 0.2356, 0.0810) x2  2 C 2.02-2.12
C (0.1745, 0.4903, 0.8496) x2  4 Ru 2.02-2.12, 2 Nb 2.18-2.19

---

Entry 20:
Here is NbRuC3 after structural relaxation from the Alexandria database. Energies are from PBE.

Values from the calculation:
- E above lowest polymorph (eV/f.u.) = 0.00
- magnetization (μB per atom) = 0.0000
- total DFT energy (no corrections) (eV per atom) = -7.46

Cell lengths 3.9077, 3.9077, 3.9077 Å; angles 90.00, 90.00, 90.00 degrees
Last column: nearest neighbours and their distance in Å.
Space group Pm-3m (No. 221)
Inequivalent atoms, fractional coordinates:
Nb (0.0000, 0.0000, 0.0000) x1  12 C 2.76
Ru (0.5000, 0.5000, 0.5000) x1  6 C 1.95
C (0.0000, 0.5000, 0.5000) x3  2 Ru 1.95

---

Entry 21:
Here is NbRu2C after structural relaxation from the Alexandria database. Energies are from PBE.

Values from the calculation:
- magnetization (μB per atom) = 0.0000
- total DFT energy (no corrections) (eV per atom) = -9.52

Cell lengths 9.0442, 4.3219, 5.7035 Å; angles 90.00, 109.86, 90.00 degrees
Last column: nearest neighbours and their distance in Å.
Space group C2/m (No. 12)
Inequivalent atoms, fractional coordinates:
Nb (0.1711, 0.0000, 0.1123) x4  3 C 2.16-2.18
Ru (0.0050, 0.5000, 0.2726) x4  2 C 2.04-2.15
Ru (0.1529, 0.0000, 0.5686) x4  1 C 2.04
C (0.1675, 0.5000, 0.0969) x4  3 Ru 2.04-2.15, 3 Nb 2.16-2.18

---

Entry 22:
Here is Nb4RuC after structural relaxation from the Alexandria database. Energies are from PBE.

Values from the calculation:
- magnetization (μB per atom) = 0.0000
- total DFT energy (no corrections) (eV per atom) = -9.24

Cell lengths 8.0936, 8.0936, 7.0723 Å; angles 90.00, 90.00, 90.00 degrees
Last column: nearest neighbours and their distance in Å.
Space group I4_1/amd (No. 141, origin choice 2)
Inequivalent atoms, fractional coordinates:
Nb (0.0000, 0.0560, 0.1948) x16  1 C 2.02
Ru (0.0000, 0.2500, 0.8750) x4  8 Nb 2.53-2.75
C (0.0000, 0.2500, 0.3750) x4  4 Nb 2.02

---

Entry 23:
Here is NbRu2C after structural relaxation from the Alexandria database. Energies are from PBE.

Values from the calculation:
- magnetization (μB per atom) = 0.0000
- total DFT energy (no corrections) (eV per atom) = -9.44

Cell lengths 5.5541, 7.6508, 5.6727 Å; angles 90.00, 118.87, 90.00 degrees
Last column: nearest neighbours and their distance in Å.
Space group C2/m (No. 12)
Inequivalent atoms, fractional coordinates:
Nb (0.0000, 0.2039, 0.0000) x4  2 C 2.32
Ru (0.0000, 0.3271, 0.5000) x4  2 C 2.08
Ru (0.2368, 0.0000, 0.7378) x4  2 C 2.07-2.08
C (0.1712, 0.0000, 0.3465) x4  4 Ru 2.07-2.08

---

no.,ΔE_f (eV per atom)
1,0.11
2,-0.41
3,-0.42
4,-0.46
5,2.44
6,2.16
7,-0.44
8,-0.27
9,2.32
10,0.03
11,0.13
12,0.02
13,2.43
14,0.01
15,-0.02
16,-0.04
17,0.39
18,0.04
19,-0.04
20,1.95
21,-0.06
22,0.56
23,0.02